DFT (PBE) results for crystalline ErTm6Th4 at its relaxed geometry.

Properties
The calculation puts the electronic total energy at -5.02 eV per atom. As for the total magnetization: 0.00 μB/cell. As for the density of states at the Fermi level: 15.2 states/eV/cell. The volume is 35.593 Å³/atom.

Lattice parameters (Å, degrees): 7.7899 7.7899 8.4835 117.33 117.33 90.00
Closest atoms and distances in Å follow each position.
Positions (direct):
Tm 0.5000 0.0000 0.0000  4 Th 3.05
Tm 0.0000 0.5000 0.0000  4 Th 3.05
Tm 0.0716 0.0716 0.6438  4 Th 3.31-3.58, 2 Tm 3.59, 1 Er 3.59
Tm 0.9284 0.4278 0.3562  4 Th 3.31-3.58, 2 Tm 3.59, 1 Er 3.59
Tm 0.5722 0.5722 0.6438  4 Th 3.31-3.58, 2 Tm 3.59, 1 Er 3.59
Tm 0.4278 0.9284 0.3562  4 Th 3.31-3.58, 2 Tm 3.59, 1 Er 3.59
Th 0.9064 0.9064 0.1497  4 Tm 3.05-3.38, 2 Th 3.26
Th 0.0936 0.7568 0.8503  4 Tm 3.05-3.38, 2 Th 3.26
Th 0.2432 0.2432 0.1497  4 Tm 3.05-3.38, 2 Th 3.26
Th 0.7568 0.0936 0.8503  4 Tm 3.05-3.38, 2 Th 3.26
Er 0.5000 0.5000 0.0000  8 Tm 3.59-3.89, 4 Th 3.78

=====

DFT (PBE) results for crystalline AcCdSi2Pd5 at its relaxed geometry.

Properties
As for the total magnetization: 0.00 μB/cell. As for the density of states at the Fermi level: 4.9 states/eV/cell. The calculation puts the formation energy (no corrections) at -560 meV/atom. The volume is 18.607 Å³/atom.

Lattice parameters (Å, degrees): 4.7471 4.7471 7.4313 90.00 90.00 90.00
Closest atoms and distances in Å follow each position.
Positions (direct):
Cd 0.0000 0.0000 0.0000  8 Pd 2.91
Pd 0.5000 0.0000 0.2275  2 Si 2.43
Pd 0.0000 0.5000 0.7725  2 Si 2.43
Pd 0.5000 0.0000 0.7725  2 Si 2.43
Pd 0.0000 0.5000 0.2275  2 Si 2.43
Pd 0.5000 0.5000 0.5000  2 Si 2.55
Si 0.5000 0.5000 0.1567  1 Si 2.33, 5 Pd 2.43-2.55
Si 0.5000 0.5000 0.8433  1 Si 2.33, 5 Pd 2.43-2.55
Ac 0.0000 0.0000 0.5000  12 Pd 3.12-3.36

=====

DFT (PBE) results for crystalline Fe2Te2Ru at its relaxed geometry.

Properties
As for the total magnetization: 3.12 μB/cell. As for the density of states at the Fermi level: 4.2 states/eV/cell. The calculation puts the formation energy (no corrections) at 442 meV/atom. The volume is 17.686 Å³/atom.

Lattice parameters (Å, degrees): 7.9922 7.9922 7.9922 155.39 155.39 35.08
Closest atoms and distances in Å follow each position.
Positions (direct):
Ru 0.0000 0.0000 0.0000  8 Te 2.96
Fe 0.2500 0.7500 0.5000  4 Fe 2.41
Fe 0.7500 0.2500 0.5000  4 Fe 2.41
Te 0.3874 0.3874 0.0000  4 Fe 2.70, 4 Ru 2.96
Te 0.6126 0.6126 0.0000  4 Fe 2.70, 4 Ru 2.96

=====

DFT (PBE) results for crystalline K2ZnPO4 at its relaxed geometry.

Properties
As for the total magnetization: 0.60 μB/cell. As for the density of states at the Fermi level: 2.8 states/eV/cell. The calculation puts the formation energy (no corrections) at -1762 meV/atom. The volume is 16.454 Å³/atom.

Lattice parameters (Å, degrees): 5.5938 5.5938 5.5938 99.29 114.79 114.79
Closest atoms and distances in Å follow each position.
Positions (direct):
O 0.0544 0.2541 0.5526  1 P 1.57
O 0.2985 0.8002 0.7459  1 P 1.57
O 0.7015 0.4474 0.5018  1 P 1.57
O 0.9456 0.4982 0.1998  1 P 1.57
K 0.5000 0.7500 0.2500  4 O 2.68
K 0.0000 0.0000 0.0000  8 O 3.02-3.13
Zn 0.5000 0.2500 0.7500  4 O 2.28
P 0.0000 0.5000 0.5000  4 O 1.57